Record 1
K2Li2TeS4: optimized geometry, PBE-GGA.

Results
- Magnetization: 0.000 μB/atom
- Raw total energy: -3.735 eV per atom
- Calculated volume: 208.2 Å³ per cell

abc: 4.0260 7.6387 7.5030
angles: 109.92 90.00 105.28
Fractional coordinates of all 9 atoms:
K1 0.8591 0.7182 0.4453
K2 0.1409 0.2818 0.5547
Li1 0.3175 0.6350 0.0081
Li2 0.6825 0.3650 0.9919
Te1 0.0000 0.0000 0.0000
S1 0.8047 0.6094 0.8280
S2 0.1953 0.3906 0.1720
S3 0.4834 0.9669 0.2337
S4 0.5166 0.0331 0.7663

=====

Record 2
Ac2Al3Si2: optimized geometry, PBE-GGA.

Results
- Magnetization: 0.000 μB/atom
- Relative energy among the computed polymorphs: 0.2149 eV per atom
- Calculated volume: 175.6 Å³ per cell

abc: 3.8835 3.8658 11.8571
angles: 99.38 90.00 90.00
Fractional coordinates of all 7 atoms:
Ac1 0.0000 0.8431 0.6862
Ac2 0.0000 0.1569 0.3138
Al1 0.5000 0.5559 0.1119
Al2 0.5000 0.4441 0.8881
Al3 0.0000 0.0000 0.0000
Si1 0.5000 0.7227 0.4455
Si2 0.5000 0.2773 0.5545

=====

Record 3
MgTlGa3: optimized geometry, PBE-GGA.

Results
- Magnetization: 0.000 μB/atom
- Relative energy among the computed polymorphs: 0.0000 eV per atom
- Calculated volume: 138.5 Å³ per cell
- ΔH_f (0 K): 363 meV/atom

abc: 5.1742 5.1742 5.1742
angles: 90.00 90.00 90.00
Fractional coordinates of all 5 atoms:
Tl1 0.5000 0.5000 0.5000
Mg1 0.0000 0.0000 0.0000
Ga1 0.0000 0.5000 0.0000
Ga2 0.0000 0.0000 0.5000
Ga3 0.5000 0.0000 0.0000

=====

Record 4
KHg2I2: optimized geometry, PBE-GGA.

Results
- Magnetization: 0.000 μB/atom
- Relative energy among the computed polymorphs: 0.0081 eV per atom
- Calculated volume: 184.9 Å³ per cell

abc: 4.3546 4.3546 10.2264
angles: 77.71 77.71 90.00
Fractional coordinates of all 5 atoms:
I1 0.3997 0.3997 0.2006
I2 0.6003 0.6003 0.7994
K1 0.0000 0.0000 0.0000
Hg1 0.7500 0.2500 0.5000
Hg2 0.2500 0.7500 0.5000

=====

Record 5
CaZrZnIr: optimized geometry, PBE-GGA.

Results
- Magnetization: 0.000 μB/atom
- Calculated volume: 78.0 Å³ per cell
- ΔH_f (0 K): -350 meV/atom

abc: 4.7954 4.7954 4.7954
angles: 60.00 60.00 60.00
Fractional coordinates of all 4 atoms:
Zn1 0.0000 0.0000 0.0000
Ir1 0.5000 0.5000 0.5000
Ca1 0.2500 0.2500 0.2500
Zr1 0.7500 0.7500 0.7500